No. 1
This record from Alexandria describes TeIrOsW2 after structural relaxation. The functional is PBE-GGA.

The structure in POSCAR format:
```
TeIrOsW2
1.0
4.709 0.000 0.000
0.000 4.709 0.000
0.000 0.000 5.035
Te Ir Os W
1 1 1 2
direct
0.000 0.000 0.000
0.000 0.000 0.500
0.500 0.500 0.000
0.000 0.500 0.500
0.500 0.000 0.500
```

Values from the calculation:
density of states at the Fermi level: 6.6 states/eV/f.u.
final energy: -0.5488 Ry/atom
raw formation energy: 2.361 eV/atom



No. 2
This record from Alexandria describes Sr2CrRu after structural relaxation. The functional is PBE-GGA.

The structure in POSCAR format:
```
Sr2CrRu
1.0
2.053 1.185 8.644
-2.053 1.185 8.644
0.000 -2.371 8.644
Sr Cr Ru
2 1 1
direct
0.000 0.000 0.000
0.181 0.181 0.181
0.424 0.424 0.424
0.758 0.758 0.758
```

Values from the calculation:
energy of formation from the pure elements: 0.96 eV/f.u.
distance to the lowest polymorph of the same formula: 0 meV/atom
density of states at the Fermi level: 1.9 states/eV/f.u.
final energy: -0.3914 Ry/atom



No. 3
This record from Alexandria describes CeCuBr6 after structural relaxation. The functional is PBE-GGA.

The structure in POSCAR format:
```
CeCuBr6
1.0
6.211 0.000 0.000
0.348 7.278 0.000
2.889 3.449 6.482
Ce Cu Br
1 1 6
direct
0.000 0.000 0.000
0.500 0.500 0.000
0.018 0.805 0.377
0.300 0.379 0.844
0.408 0.845 0.817
0.592 0.155 0.183
0.700 0.621 0.156
0.982 0.195 0.623
```

Values from the calculation:
distance to the lowest polymorph of the same formula: 41 meV/atom
density of states at the Fermi level: 1.3 states/eV/f.u.
final energy: -0.2584 Ry/atom
raw formation energy: -1.007 eV/atom



No. 4
This record from Alexandria describes Ba8SiPt2 after structural relaxation. The functional is PBE-GGA.

The structure in POSCAR format:
```
Ba8SiPt2
1.0
6.603 0.000 0.000
0.001 10.247 0.000
0.002 5.118 8.880
Ba Si Pt
8 1 2
direct
0.237 0.333 0.333
0.257 0.324 0.839
0.257 0.837 0.324
0.257 0.839 0.837
0.743 0.161 0.163
0.743 0.163 0.676
0.743 0.676 0.161
0.763 0.667 0.667
0.500 0.000 0.000
0.274 0.667 0.667
0.726 0.333 0.333
```

Values from the calculation:
density of states at the Fermi level: 12.9 states/eV/f.u.
final energy: -0.2341 Ry/atom
raw formation energy: -0.196 eV/atom



No. 5
This record from Alexandria describes Sc2AlV2Os5 after structural relaxation. The functional is PBE-GGA.

The structure in POSCAR format:
```
Sc2AlV2Os5
1.0
10.002 0.000 0.000
0.000 10.002 0.000
0.000 0.000 3.161
Sc Al V Os
4 2 4 10
direct
0.170 0.330 0.000
0.330 0.830 0.000
0.670 0.170 0.000
0.830 0.670 0.000
0.000 0.000 0.000
0.500 0.500 0.000
0.133 0.633 0.000
0.367 0.133 0.000
0.633 0.867 0.000
0.867 0.367 0.000
0.000 0.500 0.500
0.065 0.804 0.500
0.196 0.065 0.500
0.304 0.565 0.500
0.435 0.304 0.500
0.500 0.000 0.500
0.565 0.696 0.500
0.696 0.435 0.500
0.804 0.935 0.500
0.935 0.196 0.500
```

Values from the calculation:
energy of formation from the pure elements: -1.67 eV/f.u.
density of states at the Fermi level: 6.6 states/eV/f.u.
final energy: -0.6796 Ry/atom



No. 6
This record from Alexandria describes K2SrNbIn after structural relaxation. The functional is PBE-GGA.

The structure in POSCAR format:
```
K2SrNbIn
1.0
6.362 0.000 0.000
0.000 6.362 0.000
0.000 0.000 6.504
K Sr Nb In
2 1 1 1
direct
0.000 0.500 0.000
0.500 0.000 0.000
0.000 0.000 0.500
0.500 0.500 0.500
0.000 0.000 0.000
```

Values from the calculation:
energy of formation from the pure elements: 5.68 eV/f.u.
density of states at the Fermi level: 7.8 states/eV/f.u.
final energy: -0.1617 Ry/atom



Number 3 is which compound?
CeCuBr6



final energy of number 4 (Ba8SiPt2)?
-0.2341 Ry/atom